Compound: Sc3As2O2
Source: Alexandria via LeMat-Bulk
Functional: PBE
Structure: optimized geometry

Raw total energy: -7.626 eV per atom
Energy relative to the elements, uncorrected: -2.17 eV/atom

Cell lengths 3.532, 6.539, 5.997 Å; angles 109.56, 107.13, 90.00 degrees
Fractional positions:
Sc 0.000 0.500 0.000
Sc 0.304 0.722 0.608
Sc 0.696 0.278 0.392
As 0.623 0.828 0.246
As 0.377 0.172 0.754
O 0.843 0.597 0.687
O 0.157 0.403 0.313

---

Compound: BeRe2Ru
Source: Alexandria via LeMat-Bulk
Functional: PBE
Structure: optimized geometry

Formation energy from the elements: 138 meV/atom
Raw total energy: -9.336 eV per atom
Energy relative to the lowest polymorph listed for this composition: 0.2080 eV per atom

Cell lengths 4.511, 4.511, 4.704 Å; angles 82.96, 82.96, 35.17 degrees
Fractional positions:
Re 0.001 0.001 0.994
Re 0.246 0.246 0.240
Be 0.750 0.750 0.742
Ru 0.503 0.503 0.524